# Cr2PtSe PBE optimized geometry
# **SG**: R-3m (166)
# **Formation energy from raw total energies**: 0.21 eV/atom
data_Cr2PtSe
_symmetry_space_group_name_H-M 'P 1'
_symmetry_Int_Tables_number 1
_symmetry_space_group_name_Hall 'P 1'
_cell_length_a 8.229
_cell_length_b 8.229
_cell_length_c 8.229
_cell_angle_alpha 19.69
_cell_angle_beta 19.69
_cell_angle_gamma 19.69
loop_
_atom_site_label
_atom_site_fract_x
_atom_site_fract_y
_atom_site_fract_z
_atom_site_occupancy
Cr1 0.005 0.005 0.005 1
Cr2 0.495 0.495 0.495 1
Se1 0.750 0.750 0.750 1
Pt1 0.250 0.250 0.250 1

# Cr2PtSe PBE optimized geometry
# **SG**: Amm2 (38)
# **Formation energy from raw total energies**: 0.08 eV/atom
data_Cr2PtSe
_symmetry_space_group_name_H-M 'P 1'
_symmetry_Int_Tables_number 1
_symmetry_space_group_name_Hall 'P 1'
_cell_length_a 4.136
_cell_length_b 3.042
_cell_length_c 5.396
_cell_angle_alpha 106.36
_cell_angle_beta 90.00
_cell_angle_gamma 90.00
loop_
_atom_site_label
_atom_site_fract_x
_atom_site_fract_y
_atom_site_fract_z
_atom_site_occupancy
Se1 0.500 0.708 0.791 1
Cr1 0.500 0.387 0.149 1
Cr2 0.000 0.853 0.081 1
Pt1 0.000 0.552 0.479 1

# Cr2PtSe PBE optimized geometry
# **SG**: P4/mmm (123)
# **Formation energy from raw total energies**: 0.09 eV/atom
data_Cr2PtSe
_symmetry_space_group_name_H-M 'P 1'
_symmetry_Int_Tables_number 1
_symmetry_space_group_name_Hall 'P 1'
_cell_length_a 2.890
_cell_length_b 2.890
_cell_length_c 6.577
_cell_angle_alpha 90.00
_cell_angle_beta 90.00
_cell_angle_gamma 90.00
loop_
_atom_site_label
_atom_site_fract_x
_atom_site_fract_y
_atom_site_fract_z
_atom_site_occupancy
Se1 0.500 0.500 0.750 1
Cr1 0.000 0.000 0.525 1
Cr2 0.000 0.000 0.975 1
Pt1 0.500 0.500 0.250 1

# Cr2PtSe PBE optimized geometry
# **SG**: P4mm (99)
# **Formation energy from raw total energies**: 0.08 eV/atom
data_Cr2PtSe
_symmetry_space_group_name_H-M 'P 1'
_symmetry_Int_Tables_number 1
_symmetry_space_group_name_Hall 'P 1'
_cell_length_a 3.160
_cell_length_b 3.161
_cell_length_c 5.954
_cell_angle_alpha 90.00
_cell_angle_beta 90.00
_cell_angle_gamma 90.00
loop_
_atom_site_label
_atom_site_fract_x
_atom_site_fract_y
_atom_site_fract_z
_atom_site_occupancy
Pt1 0.000 0.000 0.464 1
Cr1 0.000 0.000 0.998 1
Cr2 0.500 0.500 0.238 1
Se1 0.500 0.500 0.800 1

# CrPt2Se6 PBE optimized geometry
# **SG**: C2/m (12)
# **Formation energy from raw total energies**: -0.39 eV/atom
data_CrPt2Se6
_symmetry_space_group_name_H-M 'P 1'
_symmetry_Int_Tables_number 1
_symmetry_space_group_name_Hall 'P 1'
_cell_length_a 3.750
_cell_length_b 6.116
_cell_length_c 10.697
_cell_angle_alpha 116.40
_cell_angle_beta 90.00
_cell_angle_gamma 107.85
loop_
_atom_site_label
_atom_site_fract_x
_atom_site_fract_y
_atom_site_fract_z
_atom_site_occupancy
Pt1 0.336 0.672 0.170 1
Pt2 0.664 0.328 0.830 1
Se1 0.001 0.003 0.265 1
Se2 0.672 0.344 0.070 1
Se3 0.328 0.656 0.930 1
Se4 0.335 0.671 0.407 1
Se5 0.665 0.329 0.593 1
Se6 0.999 0.997 0.735 1
Cr1 0.000 0.000 0.500 1

# Cr2PtSe PBE optimized geometry
# **SG**: Cm (8)
# **Formation energy from raw total energies**: 0.02 eV/atom
data_Cr2PtSe
_symmetry_space_group_name_H-M 'P 1'
_symmetry_Int_Tables_number 1
_symmetry_space_group_name_Hall 'P 1'
_cell_length_a 4.908
_cell_length_b 4.908
_cell_length_c 4.339
_cell_angle_alpha 85.24
_cell_angle_beta 85.24
_cell_angle_gamma 37.81
loop_
_atom_site_label
_atom_site_fract_x
_atom_site_fract_y
_atom_site_fract_z
_atom_site_occupancy
Pt1 0.482 0.482 0.547 1
Se1 0.262 0.262 0.199 1
Cr1 0.009 0.009 0.023 1
Cr2 0.747 0.747 0.730 1

# CrPtSe4 PBE optimized geometry
# **SG**: F-43m (216)
# **Formation energy from raw total energies**: 0.90 eV/atom
data_CrPtSe4
_symmetry_space_group_name_H-M 'P 1'
_symmetry_Int_Tables_number 1
_symmetry_space_group_name_Hall 'P 1'
_cell_length_a 5.582
_cell_length_b 5.582
_cell_length_c 5.582
_cell_angle_alpha 60.00
_cell_angle_beta 60.00
_cell_angle_gamma 60.00
loop_
_atom_site_label
_atom_site_fract_x
_atom_site_fract_y
_atom_site_fract_z
_atom_site_occupancy
Se1 0.374 0.374 0.374 1
Se2 0.879 0.374 0.374 1
Se3 0.374 0.879 0.374 1
Se4 0.374 0.374 0.879 1
Pt1 0.000 0.000 0.000 1
Cr1 0.750 0.750 0.750 1

# Cr2PtSe PBE optimized geometry
# **SG**: Imm2 (44)
# **Formation energy from raw total energies**: 0.19 eV/atom
data_Cr2PtSe
_symmetry_space_group_name_H-M 'P 1'
_symmetry_Int_Tables_number 1
_symmetry_space_group_name_Hall 'P 1'
_cell_length_a 5.483
_cell_length_b 5.483
_cell_length_c 5.483
_cell_angle_alpha 145.47
_cell_angle_beta 134.84
_cell_angle_gamma 58.06
loop_
_atom_site_label
_atom_site_fract_x
_atom_site_fract_y
_atom_site_fract_z
_atom_site_occupancy
Pt1 0.489 0.489 0.000 1
Cr1 0.731 0.231 0.500 1
Cr2 0.024 0.024 0.000 1
Se1 0.257 0.757 0.500 1

# CrPtSe4 PBE optimized geometry
# **SG**: C2/m (12)
# **Formation energy from raw total energies**: -0.39 eV/atom
data_CrPtSe4
_symmetry_space_group_name_H-M 'P 1'
_symmetry_Int_Tables_number 1
_symmetry_space_group_name_Hall 'P 1'
_cell_length_a 3.718
_cell_length_b 6.349
_cell_length_c 10.896
_cell_angle_alpha 89.46
_cell_angle_beta 90.00
_cell_angle_gamma 90.00
loop_
_atom_site_label
_atom_site_fract_x
_atom_site_fract_y
_atom_site_fract_z
_atom_site_occupancy
Se1 0.000 0.668 0.376 1
Se2 0.000 0.337 0.125 1
Se3 0.500 0.168 0.876 1
Se4 0.500 0.832 0.124 1
Se5 0.500 0.837 0.625 1
Se6 0.000 0.663 0.875 1
Se7 0.500 0.163 0.375 1
Se8 0.000 0.332 0.624 1
Cr1 0.000 0.000 0.500 1
Cr2 0.500 0.500 0.000 1
Pt1 0.500 0.500 0.500 1
Pt2 0.000 0.000 0.000 1

# SrCrPtSe2 PBE optimized geometry
# **SG**: P4/mmm (123)
# **Formation energy from raw total energies**: -0.28 eV/atom
data_SrCrPtSe2
_symmetry_space_group_name_H-M 'P 1'
_symmetry_Int_Tables_number 1
_symmetry_space_group_name_Hall 'P 1'
_cell_length_a 5.245
_cell_length_b 4.744
_cell_length_c 5.245
_cell_angle_alpha 90.00
_cell_angle_beta 90.00
_cell_angle_gamma 90.00
loop_
_atom_site_label
_atom_site_fract_x
_atom_site_fract_y
_atom_site_fract_z
_atom_site_occupancy
Sr1 0.500 0.500 0.500 1
Pt1 0.000 0.000 0.000 1
Se1 0.000 0.000 0.500 1
Se2 0.500 0.000 0.000 1
Cr1 0.000 0.500 0.000 1

# CrPtW2Se PBE optimized geometry
# **SG**: P4/mmm (123)
# **Formation energy from raw total energies**: 1.99 eV/atom
data_CrPtW2Se
_symmetry_space_group_name_H-M 'P 1'
_symmetry_Int_Tables_number 1
_symmetry_space_group_name_Hall 'P 1'
_cell_length_a 4.839
_cell_length_b 4.596
_cell_length_c 4.839
_cell_angle_alpha 90.00
_cell_angle_beta 90.00
_cell_angle_gamma 90.00
loop_
_atom_site_label
_atom_site_fract_x
_atom_site_fract_y
_atom_site_fract_z
_atom_site_occupancy
W1 0.500 0.000 0.000 1
W2 0.000 0.000 0.500 1
Pt1 0.000 0.000 0.000 1
Cr1 0.000 0.500 0.000 1
Se1 0.500 0.500 0.500 1

# CrPtW2Se PBE optimized geometry
# **SG**: P4/mmm (123)
# **Formation energy from raw total energies**: 1.40 eV/atom
data_CrPtW2Se
_symmetry_space_group_name_H-M 'P 1'
_symmetry_Int_Tables_number 1
_symmetry_space_group_name_Hall 'P 1'
_cell_length_a 4.584
_cell_length_b 4.299
_cell_length_c 4.584
_cell_angle_alpha 90.00
_cell_angle_beta 90.00
_cell_angle_gamma 90.00
loop_
_atom_site_label
_atom_site_fract_x
_atom_site_fract_y
_atom_site_fract_z
_atom_site_occupancy
Se1 0.000 0.500 0.000 1
Cr1 0.000 0.000 0.000 1
W1 0.500 0.000 0.000 1
W2 0.000 0.000 0.500 1
Pt1 0.500 0.500 0.500 1